# 1
# GGA-PBE AlHgCl2, relaxed
# Energy relative to the lowest polymorph listed for this composition: 169.4 meV/atom
# Volume: 31.6 Å³/atom
# ΔE_f (raw): -0.5666 eV per atom
data_AlHgCl2
_chemical_formula_sum 'Al1 Hg1 Cl2'
_space_group_name_H-M_alt 'P 1'
_space_group_IT_number 1
_cell_length_a 3.925
_cell_length_b 3.925
_cell_length_c 10.104
_cell_angle_alpha 99.19
_cell_angle_beta 99.19
_cell_angle_gamma 55.76
loop_
_space_group_symop_operation_xyz
'x,y,z'
loop_
_atom_site_label
_atom_site_type_symbol
_atom_site_fract_x
_atom_site_fract_y
_atom_site_fract_z
_atom_site_occupancy
Al1 Al 0.000 0.000 0.000 1
Hg1 Hg 0.500 0.500 0.500 1
Cl1 Cl 0.285 0.285 0.867 1
Cl2 Cl 0.715 0.715 0.133 1

# 2
# GGA-PBE AlHg2Cl, relaxed
# Energy relative to the lowest polymorph listed for this composition: 205.1 meV/atom
# Volume: 33.7 Å³/atom
# ΔE_f (raw): -0.0814 eV per atom
data_AlHg2Cl
_chemical_formula_sum 'Al2 Hg4 Cl2'
_space_group_name_H-M_alt 'P 1'
_space_group_IT_number 1
_cell_length_a 7.715
_cell_length_b 7.715
_cell_length_c 7.715
_cell_angle_alpha 129.06
_cell_angle_beta 129.06
_cell_angle_gamma 74.92
loop_
_space_group_symop_operation_xyz
'x,y,z'
loop_
_atom_site_label
_atom_site_type_symbol
_atom_site_fract_x
_atom_site_fract_y
_atom_site_fract_z
_atom_site_occupancy
Al1 Al 0.000 0.000 0.000 1
Al2 Al 0.750 0.250 0.500 1
Hg1 Hg 0.086 0.625 0.961 1
Hg2 Hg 0.375 0.336 0.461 1
Hg3 Hg 0.664 0.125 0.039 1
Hg4 Hg 0.875 0.914 0.539 1
Cl1 Cl 0.250 0.750 0.500 1
Cl2 Cl 0.500 0.500 0.000 1

# 3
# GGA-PBE AlHgCl2, relaxed
# Energy relative to the lowest polymorph listed for this composition: 114.2 meV/atom
# Volume: 29.0 Å³/atom
# ΔE_f (raw): -0.6218 eV per atom
data_AlHgCl2
_chemical_formula_sum 'Al1 Hg1 Cl2'
_space_group_name_H-M_alt 'P 1'
_space_group_IT_number 1
_cell_length_a 3.323
_cell_length_b 3.392
_cell_length_c 10.280
_cell_angle_alpha 90.00
_cell_angle_beta 90.25
_cell_angle_gamma 90.00
loop_
_space_group_symop_operation_xyz
'x,y,z'
loop_
_atom_site_label
_atom_site_type_symbol
_atom_site_fract_x
_atom_site_fract_y
_atom_site_fract_z
_atom_site_occupancy
Al1 Al 0.000 0.000 0.000 1
Hg1 Hg 0.500 0.000 0.500 1
Cl1 Cl 0.002 0.500 0.159 1
Cl2 Cl 0.998 0.500 0.841 1

# 4
# GGA-PBE Al2HgCl, relaxed
# Energy relative to the lowest polymorph listed for this composition: 12.9 meV/atom
# Volume: 20.4 Å³/atom
# ΔE_f (raw): -0.1248 eV per atom
data_Al2HgCl
_chemical_formula_sum 'Al2 Hg1 Cl1'
_space_group_name_H-M_alt 'P 1'
_space_group_IT_number 1
_cell_length_a 3.077
_cell_length_b 5.149
_cell_length_c 5.164
_cell_angle_alpha 90.00
_cell_angle_beta 93.28
_cell_angle_gamma 90.00
loop_
_space_group_symop_operation_xyz
'x,y,z'
loop_
_atom_site_label
_atom_site_type_symbol
_atom_site_fract_x
_atom_site_fract_y
_atom_site_fract_z
_atom_site_occupancy
Al1 Al 0.000 0.000 0.000 1
Al2 Al 0.013 0.500 0.500 1
Hg1 Hg 0.503 0.500 0.001 1
Cl1 Cl 0.005 0.000 0.500 1

# 5
# GGA-PBE AlHg2Cl, relaxed
# Energy relative to the lowest polymorph listed for this composition: 211.9 meV/atom
# Volume: 23.4 Å³/atom
# ΔE_f (raw): -0.0745 eV per atom
data_AlHg2Cl
_chemical_formula_sum 'Al1 Hg2 Cl1'
_space_group_name_H-M_alt 'P 1'
_space_group_IT_number 1
_cell_length_a 3.544
_cell_length_b 3.544
_cell_length_c 7.463
_cell_angle_alpha 90.00
_cell_angle_beta 90.00
_cell_angle_gamma 90.00
loop_
_space_group_symop_operation_xyz
'x,y,z'
loop_
_atom_site_label
_atom_site_type_symbol
_atom_site_fract_x
_atom_site_fract_y
_atom_site_fract_z
_atom_site_occupancy
Al1 Al 0.000 0.000 0.000 1
Hg1 Hg 0.500 0.500 0.232 1
Hg2 Hg 0.500 0.500 0.768 1
Cl1 Cl 0.000 0.000 0.500 1

# 6
# GGA-PBE AlHg2Cl, relaxed
# Energy relative to the lowest polymorph listed for this composition: 170.4 meV/atom
# Volume: 26.4 Å³/atom
# ΔE_f (raw): -0.1160 eV per atom
data_AlHg2Cl
_chemical_formula_sum 'Al1 Hg2 Cl1'
_space_group_name_H-M_alt 'P 1'
_space_group_IT_number 1
_cell_length_a 6.522
_cell_length_b 6.522
_cell_length_c 4.184
_cell_angle_alpha 107.82
_cell_angle_beta 107.82
_cell_angle_gamma 126.23
loop_
_space_group_symop_operation_xyz
'x,y,z'
loop_
_atom_site_label
_atom_site_type_symbol
_atom_site_fract_x
_atom_site_fract_y
_atom_site_fract_z
_atom_site_occupancy
Al1 Al 0.000 0.000 0.000 1
Hg1 Hg 0.000 0.500 0.500 1
Hg2 Hg 0.500 0.000 0.500 1
Cl1 Cl 0.500 0.500 0.000 1